Entry 1:
## Sr2Ac2Pb3 (GGA-PBE)

Data for a geometry-optimized Sr2Ac2Pb3 structure.

abc: 5.562 9.466 5.797
angles: 72.14 90.02 107.12
Element x y z (fractional)
Sr 0.881 0.762 0.619
Sr 0.119 0.238 0.381
Ac 0.628 0.256 0.871
Ac 0.372 0.744 0.129
Pb 0.000 0.000 0.000
Pb 0.745 0.489 0.255
Pb 0.255 0.511 0.745

Summary:
**Energy of formation**: -0.450 eV per atom
**N(E_F)**: 4.33 states/eV/f.u.
**Total magnetization**: 0.00 μB/cell

=====

Entry 2:
## SrAc2Pb (GGA-PBE)

Data for a geometry-optimized SrAc2Pb structure.

abc: 4.562 4.562 7.752
angles: 90.00 90.00 90.00
Element x y z (fractional)
Pb 0.500 0.500 0.000
Sr 0.500 0.500 0.500
Ac 0.000 0.000 0.780
Ac 0.000 0.000 0.220

Summary:
**Energy of formation**: -0.187 eV per atom
**N(E_F)**: 3.95 states/eV/f.u.
**Offset from the most stable computed form**: 0.0430 eV/atom
**Total magnetization**: 0.00 μB/cell

=====

Entry 3:
## SrAcPb (GGA-PBE)

Data for a geometry-optimized SrAcPb structure.

abc: 4.750 5.598 9.159
angles: 90.00 105.00 90.00
Element x y z (fractional)
Sr 0.930 0.250 0.861
Sr 0.070 0.750 0.139
Ac 0.227 0.250 0.455
Ac 0.773 0.750 0.545
Pb 0.591 0.250 0.182
Pb 0.409 0.750 0.818

Summary:
**Energy of formation**: -0.340 eV per atom
**N(E_F)**: 2.74 states/eV/f.u.
**Offset from the most stable computed form**: 0.0641 eV/atom
**Total magnetization**: 0.00 μB/cell

=====

Entry 4:
## SrAcPb3 (GGA-PBE)

Data for a geometry-optimized SrAcPb3 structure.

abc: 10.246 9.182 9.182
angles: 59.41 90.02 90.02
Element x y z (fractional)
Sr 0.250 0.999 0.001
Sr 0.750 0.001 0.999
Sr 0.250 0.498 0.502
Sr 0.750 0.502 0.498
Ac 0.749 0.500 0.000
Ac 0.751 0.000 0.500
Ac 0.251 0.500 0.000
Ac 0.249 0.000 0.500
Pb 0.500 0.296 0.903
Pb 0.000 0.097 0.704
Pb 0.500 0.704 0.097
Pb 0.000 0.903 0.296
Pb 0.000 0.706 0.092
Pb 0.500 0.908 0.294
Pb 0.000 0.294 0.908
Pb 0.500 0.092 0.706
Pb 0.500 0.298 0.300
Pb 0.000 0.700 0.702
Pb 0.500 0.702 0.700
Pb 0.000 0.300 0.298

Summary:
**Energy of formation**: -0.469 eV per atom
**N(E_F)**: 2.48 states/eV/f.u.
**Offset from the most stable computed form**: 0.0124 eV/atom
**Total magnetization**: 0.00 μB/cell

=====

Entry 5:
## Sr3Ac2Pb4 (GGA-PBE)

Data for a geometry-optimized Sr3Ac2Pb4 structure.

abc: 8.477 9.059 9.134
angles: 90.00 90.00 106.45
Element x y z (fractional)
Sr 0.000 0.500 0.500
Sr 0.500 0.500 0.000
Sr 0.752 0.244 0.829
Sr 0.748 0.756 0.329
Sr 0.248 0.756 0.171
Sr 0.252 0.244 0.671
Ac 0.573 0.192 0.310
Ac 0.927 0.808 0.810
Ac 0.427 0.808 0.690
Ac 0.073 0.192 0.190
Pb 0.855 0.080 0.533
Pb 0.645 0.920 0.033
Pb 0.145 0.920 0.467
Pb 0.355 0.080 0.967
Pb 0.872 0.487 0.127
Pb 0.628 0.513 0.627
Pb 0.128 0.513 0.873
Pb 0.372 0.487 0.373

Summary:
**Energy of formation**: -0.575 eV per atom
**N(E_F)**: 0.25 states/eV/f.u.
**Total magnetization**: 0.00 μB/cell

=====

Entry 6:
## SrAc2Pb (GGA-PBE)

Data for a geometry-optimized SrAc2Pb structure.

abc: 3.996 3.996 13.191
angles: 81.29 81.29 60.00
Element x y z (fractional)
Pb 0.500 0.500 0.500
Sr 0.000 0.000 0.000
Ac 0.099 0.099 0.702
Ac 0.901 0.901 0.298

Summary:
**Energy of formation**: 0.028 eV per atom
**N(E_F)**: 4.30 states/eV/f.u.
**Offset from the most stable computed form**: 0.2582 eV/atom
**Total magnetization**: 0.00 μB/cell

=====

Entry 7:
## Sr3Ac3Pb4 (GGA-PBE)

Data for a geometry-optimized Sr3Ac3Pb4 structure.

abc: 5.004 8.775 8.775
angles: 90.37 90.00 90.00
Element x y z (fractional)
Sr 0.000 0.497 0.999
Sr 0.000 0.001 0.503
Sr 0.500 0.171 0.829
Ac 0.500 0.829 0.171
Ac 0.500 0.328 0.327
Ac 0.500 0.673 0.672
Pb 0.000 0.627 0.373
Pb 0.000 0.377 0.623
Pb 0.000 0.871 0.875
Pb 0.000 0.125 0.129

Summary:
**Energy of formation**: -0.522 eV per atom
**N(E_F)**: 8.15 states/eV/f.u.
**Total magnetization**: 0.00 μB/cell

=====

Entry 8:
## SrAcPb2 (GGA-PBE)

Data for a geometry-optimized SrAcPb2 structure.

abc: 4.108 4.108 10.656
angles: 78.89 78.89 60.00
Element x y z (fractional)
Pb 0.751 0.751 0.746
Pb 0.249 0.249 0.254
Sr 0.500 0.500 0.500
Ac 0.000 0.000 0.000

Summary:
**Energy of formation**: -0.341 eV per atom
**N(E_F)**: 3.63 states/eV/f.u.
**Total magnetization**: 0.00 μB/cell

=====

Entry 9:
## Sr2Ac3Pb4 (GGA-PBE)

Data for a geometry-optimized Sr2Ac3Pb4 structure.

abc: 8.125 9.890 9.976
angles: 90.00 114.03 90.00
Element x y z (fractional)
Sr 0.109 0.587 0.217
Sr 0.891 0.413 0.783
Sr 0.391 0.087 0.783
Sr 0.609 0.913 0.217
Ac 0.000 0.000 0.000
Ac 0.500 0.500 0.000
Ac 0.542 0.750 0.584
Ac 0.958 0.250 0.416
Ac 0.458 0.250 0.416
Ac 0.042 0.750 0.584
Pb 0.724 0.750 0.948
Pb 0.776 0.250 0.052
Pb 0.276 0.250 0.052
Pb 0.224 0.750 0.948
Pb 0.193 0.960 0.387
Pb 0.807 0.040 0.613
Pb 0.307 0.460 0.613
Pb 0.693 0.540 0.387

Summary:
**Energy of formation**: -0.416 eV per atom
**N(E_F)**: 5.66 states/eV/f.u.
**Offset from the most stable computed form**: 0.0577 eV/atom
**Total magnetization**: 0.00 μB/cell

=====

Entry 10:
## SrAcPb2 (GGA-PBE)

Data for a geometry-optimized SrAcPb2 structure.

abc: 5.076 4.662 6.771
angles: 90.00 111.97 90.00
Element x y z (fractional)
Sr 0.717 0.000 0.974
Ac 0.448 0.500 0.433
Pb 0.170 0.500 0.880
Pb 0.996 0.000 0.530

Summary:
**Energy of formation**: -0.527 eV per atom
**N(E_F)**: 3.13 states/eV/f.u.
**Total magnetization**: 0.00 μB/cell

=====

Entry 11:
## Sr2Ac5Pb4 (GGA-PBE)

Data for a geometry-optimized Sr2Ac5Pb4 structure.

abc: 4.699 8.739 13.206
angles: 118.28 100.25 90.00
Element x y z (fractional)
Sr 0.567 0.513 0.134
Sr 0.433 0.487 0.866
Ac 0.177 0.900 0.354
Ac 0.823 0.100 0.646
Ac 0.158 0.338 0.315
Ac 0.500 0.000 0.000
Ac 0.842 0.662 0.685
Pb 0.712 0.673 0.424
Pb 0.035 0.780 0.070
Pb 0.288 0.327 0.576
Pb 0.965 0.220 0.930

Summary:
**Energy of formation**: -0.269 eV per atom
**N(E_F)**: 9.38 states/eV/f.u.
**Total magnetization**: 0.00 μB/cell

=====

Entry 12:
## Sr2Ac5Pb5 (GGA-PBE)

Data for a geometry-optimized Sr2Ac5Pb5 structure.

abc: 4.747 8.433 14.004
angles: 105.33 90.00 106.35
Element x y z (fractional)
Sr 0.047 0.093 0.782
Sr 0.953 0.907 0.218
Ac 0.500 0.000 0.500
Ac 0.656 0.312 0.044
Ac 0.740 0.480 0.354
Ac 0.260 0.520 0.646
Ac 0.344 0.688 0.956
Pb 0.116 0.231 0.425
Pb 0.706 0.413 0.805
Pb 0.294 0.587 0.195
Pb 0.884 0.769 0.575
Pb 0.000 0.000 0.000

Summary:
**Energy of formation**: -0.418 eV per atom
**N(E_F)**: 6.21 states/eV/f.u.
**Total magnetization**: 0.00 μB/cell

=====

Entry 13:
## SrAcPb (GGA-PBE)

Data for a geometry-optimized SrAcPb structure.

abc: 5.683 5.683 12.346
angles: 90.00 90.00 120.00
Element x y z (fractional)
Pb 0.667 0.333 0.619
Pb 0.333 0.667 0.381
Ac 0.667 0.333 0.350
Ac 0.333 0.667 0.650
Sr 0.667 0.333 0.887
Sr 0.333 0.667 0.113

Summary:
**Energy of formation**: 0.059 eV per atom
**N(E_F)**: 3.85 states/eV/f.u.
**Offset from the most stable computed form**: 0.4632 eV/atom
**Total magnetization**: 0.78 μB/cell

=====

Entry 14:
## SrAc2Pb (GGA-PBE)

Data for a geometry-optimized SrAc2Pb structure.

abc: 4.131 4.131 12.339
angles: 80.36 80.36 60.00
Element x y z (fractional)
Sr 0.500 0.500 0.499
Ac 0.070 0.070 0.791
Ac 0.264 0.264 0.209
Pb 0.667 0.667 0.000

Summary:
**Energy of formation**: -0.077 eV per atom
**N(E_F)**: 6.06 states/eV/f.u.
**Offset from the most stable computed form**: 0.1538 eV/atom
**Total magnetization**: 0.00 μB/cell

=====

Entry 15:
## SrAc2Pb (GGA-PBE)

Data for a geometry-optimized SrAc2Pb structure.

abc: 6.084 6.084 6.084
angles: 60.00 60.00 60.00
Site moments in Bohr magnetons follow the coordinates.
Element x y z (fractional)
Pb 0.000 0.000 0.000  0.00
Sr 0.500 0.500 0.500  0.03
Ac 0.250 0.250 0.250  0.07
Ac 0.750 0.750 0.750  0.07

Summary:
**Energy of formation**: -0.088 eV per atom
**N(E_F)**: 5.91 states/eV/f.u.
**Offset from the most stable computed form**: 0.1428 eV/atom
**Total magnetization**: 0.55 μB/cell

=====

Entry 16:
## SrAc2Pb (GGA-PBE)

Data for a geometry-optimized SrAc2Pb structure.

abc: 4.742 7.336 10.519
angles: 90.00 90.00 108.84
Element x y z (fractional)
Sr 0.439 0.878 0.250
Sr 0.561 0.122 0.750
Ac 0.145 0.290 0.447
Ac 0.855 0.710 0.553
Ac 0.855 0.710 0.947
Ac 0.145 0.290 0.053
Pb 0.753 0.506 0.250
Pb 0.247 0.494 0.750

Summary:
**Energy of formation**: -0.230 eV per atom
**N(E_F)**: 5.01 states/eV/f.u.
**Offset from the most stable computed form**: 0.0000 eV/atom
**Total magnetization**: 0.55 μB/cell

=====

Entry 17:
## SrAc3Pb4 (GGA-PBE)

Data for a geometry-optimized SrAc3Pb4 structure.

abc: 4.690 5.456 11.072
angles: 90.00 90.00 90.00
Element x y z (fractional)
Pb 0.000 0.000 0.500
Pb 0.000 0.500 0.752
Pb 0.000 0.000 0.000
Pb 0.000 0.500 0.248
Sr 0.500 0.500 0.000
Ac 0.500 0.000 0.245
Ac 0.500 0.500 0.500
Ac 0.500 0.000 0.755

Summary:
**Energy of formation**: -0.493 eV per atom
**N(E_F)**: 6.34 states/eV/f.u.
**Total magnetization**: 0.00 μB/cell

=====

Entry 18:
## SrAcPb (GGA-PBE)

Data for a geometry-optimized SrAcPb structure.

abc: 5.040 5.040 9.323
angles: 90.00 90.00 90.00
Site moments in Bohr magnetons follow the coordinates.
Element x y z (fractional)
Sr 0.500 0.500 0.500  0.10
Sr 0.000 0.000 0.500  0.10
Ac 0.000 0.500 0.862  0.17
Ac 0.500 0.000 0.138  0.17
Pb 0.000 0.500 0.232  -0.02
Pb 0.500 0.000 0.768  -0.02

Summary:
**Energy of formation**: -0.404 eV per atom
**N(E_F)**: 2.48 states/eV/f.u.
**Offset from the most stable computed form**: 0.0000 eV/atom
**Total magnetization**: 2.06 μB/cell

=====

Entry 19:
## Sr2AcPb (GGA-PBE)

Data for a geometry-optimized Sr2AcPb structure.

abc: 5.635 5.314 5.314
angles: 90.00 90.00 90.00
Element x y z (fractional)
Pb 0.500 0.500 0.500
Sr 0.000 0.000 0.500
Sr 0.000 0.500 0.000
Ac 0.500 0.000 0.000

Summary:
**Energy of formation**: -0.237 eV per atom
**N(E_F)**: 3.04 states/eV/f.u.
**Offset from the most stable computed form**: 0.0000 eV/atom
**Total magnetization**: 0.00 μB/cell

=====

Entry 20:
## SrAc2Pb2 (GGA-PBE)

Data for a geometry-optimized SrAc2Pb2 structure.

abc: 5.297 5.297 8.415
angles: 109.51 109.51 89.92
Element x y z (fractional)
Sr 0.000 0.000 0.000
Ac 0.249 0.751 0.500
Ac 0.751 0.249 0.500
Pb 0.590 0.590 0.203
Pb 0.410 0.410 0.797

Summary:
**Energy of formation**: -0.248 eV per atom
**N(E_F)**: 4.85 states/eV/f.u.
**Offset from the most stable computed form**: 0.2819 eV/atom
**Total magnetization**: 0.00 μB/cell